Compound: Dy2BeB2Rh5
Source: the Alexandria database
Functional: GGA-PBE
Structure: relaxed

Computed properties:
Energy of formation ... -0.718 eV/atom
VASP energy ... -140.4 eV per cell

abc: 9.405 9.405 3.128
angles: 90.00 90.00 90.00
Space group P4/mbm (No. 127)
Inequivalent atoms, fractional coordinates:
Dy  0.176  0.324  0.000 x4
Be  0.000  0.000  0.000 x2
B  0.125  0.625  0.000 x4
Rh  0.000  0.500  0.500 x2
Rh  0.068  0.787  0.500 x8


Compound: AcLuSnIr
Source: the Alexandria database
Functional: GGA-PBE
Structure: relaxed

Computed properties:
Energy of formation ... -0.411 eV/atom
VASP energy ... -92.5 eV per cell

abc: 7.470 7.470 7.470
angles: 90.00 90.00 90.00
Space group F-43m (No. 216)
Inequivalent atoms, fractional coordinates:
Ac  0.000  0.000  0.000 x4
Lu  0.000  0.000  0.500 x4
Sn  0.250  0.250  0.750 x4
Ir  0.250  0.250  0.250 x4


Compound: Li2AgIr
Source: the Alexandria database
Functional: GGA-PBE
Structure: relaxed

Computed properties:
Energy of formation ... 0.004 eV/atom
VASP energy ... -31.0 eV per cell

abc: 2.686 4.560 9.430
angles: 90.00 90.00 90.00
Space group Imm2 (No. 44)
Inequivalent atoms, fractional coordinates:
Li  0.000  0.000  0.000 x2
Li  0.000  0.500  0.249 x2
Ag  0.000  0.500  0.743 x2
Ir  0.000  0.000  0.506 x2


Compound: DyPd2Pt2
Source: the Alexandria database
Functional: GGA-PBE
Structure: relaxed

Computed properties:
Energy of formation ... -0.266 eV/atom
VASP energy ... -56.8 eV per cell
E above lowest polymorph ... 0.109 eV/atom

abc: 4.941 4.941 8.271
angles: 90.00 90.00 90.00
Space group I4/mmm (No. 139)
Inequivalent atoms, fractional coordinates:
Dy  0.000  0.000  0.000 x2
Pd  0.000  0.000  0.348 x4
Pt  0.000  0.500  0.250 x4